No. 1
{"formula": "CsNbSe3", "functional": "PBE", "state": "optimized geometry", "lattice_angstrom": [[0.4722, -7.2893, 6.5213], [8.5405, -4.4595, 1.7485], [4.5771, 1.3668, 8.5479]], "species": ["Cs", "Cs", "Cs", "Cs", "Nb", "Nb", "Nb", "Nb", "Se", "Se", "Se", "Se", "Se", "Se", "Se", "Se", "Se", "Se", "Se", "Se"], "frac_coords": [[0.6250, 0.6250, 0.6250], [0.6250, 0.6250, 0.1250], [0.6250, 0.1250, 0.6250], [0.1250, 0.6250, 0.6250], [0.1250, 0.1250, 0.1250], [0.1250, 0.1250, 0.6250], [0.1250, 0.6250, 0.1250], [0.6250, 0.1250, 0.1250], [0.1847, 0.8153, 0.1847], [0.4347, 0.0653, 0.4347], [0.0653, 0.4347, 0.4347], [0.0653, 0.4347, 0.0653], [0.0653, 0.0653, 0.4347], [0.8153, 0.8153, 0.1847], [0.4347, 0.4347, 0.0653], [0.4347, 0.0653, 0.0653], [0.1847, 0.1847, 0.8153], [0.8153, 0.1847, 0.8153], [0.8153, 0.1847, 0.1847], [0.1847, 0.8153, 0.8153]], "total_energy_ev_per_fu": -25.3, "de_polymorph_ev_per_atom": 0.200, "formation_energy_uncorrected_ev_per_atom": -0.7866, "dos_ef_per_ev_fu": 0.00, "mass_density_g_cm3": 4.63}

---

No. 2
{"formula": "CsNbSe3", "functional": "PBE", "state": "optimized geometry", "lattice_angstrom": [[-22.5115, -8.6034, -6.5280], [-8.0188, -1.6302, -6.3911], [9.6541, -0.6559, 3.7647]], "species": ["Cs", "Cs", "Nb", "Nb", "Se", "Se", "Se", "Se", "Se", "Se"], "frac_coords": [[0.8682, 0.0279, 0.9721], [0.1318, 0.9721, 0.0279], [0.6773, 0.9926, 0.0074], [0.3227, 0.0074, 0.9926], [0.7653, 0.3138, 0.6862], [0.2347, 0.6862, 0.3138], [0.1321, 0.1473, 0.8527], [0.8679, 0.8527, 0.1473], [0.4775, 0.7166, 0.2834], [0.5225, 0.2834, 0.7166]], "total_energy_ev_per_fu": -25.6, "de_polymorph_ev_per_atom": 0.152, "formation_energy_uncorrected_ev_per_atom": -0.8354, "dos_ef_per_ev_fu": 0.00, "mass_density_g_cm3": 4.19}